<P>
A plane-wave DFT calculation with GGA-PBEsol was carried out for a relaxed Ba2ReAu crystal.

The structure in POSCAR format:
```
Ba2ReAu
1.0
-2.243 2.632 5.219
2.243 -2.632 5.219
2.243 2.632 -5.219
Ba Re Au
2 1 1
direct
0.000 0.000 0.000
0.710 0.210 0.500
0.322 0.822 0.500
0.422 0.422 0.000
```

Results
space group	Imm2 (44)
N(E_F)	4.40	states/eV/f.u.

***

<Q>
A plane-wave DFT calculation with GGA-PBEsol was carried out for a relaxed Ba2ReAu crystal.

The structure in POSCAR format:
```
Ba2ReAu
1.0
3.111 0.000 0.000
0.000 5.777 0.000
0.000 0.000 6.187
Ba Re Au
2 1 1
direct
0.000 0.000 0.000
0.500 0.500 0.497
0.000 0.000 0.500
0.500 0.500 0.997
```

Results
space group	Pmm2 (25)
N(E_F)	3.91	states/eV/f.u.

***

Going by the energies, <P> is most stable and the next is 247 meV/atom up.

***

<P>
A plane-wave DFT calculation with GGA-PBEsol was carried out for a relaxed BaScAu2 crystal.

The structure in POSCAR format:
```
BaScAu2
1.0
-2.382 2.853 3.759
2.382 -2.853 3.759
2.382 2.853 -3.759
Ba Sc Au
1 1 2
direct
0.000 0.000 0.000
0.500 0.500 0.000
0.297 0.797 0.500
0.703 0.203 0.500
```

Results
space group	Immm (71)
N(E_F)	3.11	states/eV/f.u.

***

<Q>
A plane-wave DFT calculation with GGA-PBEsol was carried out for a relaxed BaScAu2 crystal.

The structure in POSCAR format:
```
BaScAu2
1.0
0.000 3.666 3.666
3.666 0.000 3.666
3.666 3.666 0.000
Ba Sc Au
1 1 2
direct
0.000 0.000 0.000
0.500 0.500 0.500
0.250 0.250 0.250
0.750 0.750 0.750
```

Results
space group	Fm-3m (225)
N(E_F)	3.74	states/eV/f.u.

***

<R>
A plane-wave DFT calculation with GGA-PBEsol was carried out for a relaxed BaScAu2 crystal.

The structure in POSCAR format:
```
BaScAu2
1.0
3.664 0.000 0.000
0.000 3.664 0.000
0.000 0.000 7.676
Ba Sc Au
1 1 2
direct
0.000 0.000 0.000
0.500 0.500 0.395
0.000 0.000 0.534
0.500 0.500 0.743
```

Results
space group	P4mm (99)
N(E_F)	1.99	states/eV/f.u.

***

Going by the energies, <P> is most stable and the next is 21 meV/atom up.

***

<P>
A plane-wave DFT calculation with GGA-PBEsol was carried out for a relaxed Ba2ScAu crystal.

The structure in POSCAR format:
```
Ba2ScAu
1.0
-2.357 2.357 5.699
2.357 -2.357 5.699
2.357 2.357 -5.699
Ba Sc Au
2 1 1
direct
0.000 0.000 0.000
0.750 0.250 0.500
0.500 0.500 0.000
0.250 0.750 0.500
```

Results
space group	I-4m2 (119)
N(E_F)	5.12	states/eV/f.u.

***

<Q>
A plane-wave DFT calculation with GGA-PBEsol was carried out for a relaxed Ba2ScAu crystal.

The structure in POSCAR format:
```
Ba2ScAu
1.0
0.000 3.871 3.871
3.871 0.000 3.871
3.871 3.871 0.000
Ba Sc Au
2 1 1
direct
0.000 0.000 0.000
0.250 0.250 0.250
0.500 0.500 0.500
0.750 0.750 0.750
```

Results
space group	F-43m (216)
N(E_F)	4.47	states/eV/f.u.

***

Going by the energies, <Q> is most stable and the next is 23 meV/atom up.

***

<P>
A plane-wave DFT calculation with GGA-PBEsol was carried out for a relaxed BaSc2Au crystal.

The structure in POSCAR format:
```
BaSc2Au
1.0
5.015 0.000 0.000
0.000 5.015 0.000
0.000 0.000 3.732
Ba Sc Au
1 2 1
direct
0.000 0.000 0.000
0.000 0.500 0.500
0.500 0.000 0.500
0.500 0.500 0.000
```

Results
space group	P4/mmm (123)
N(E_F)	4.44	states/eV/f.u.

***

<Q>
A plane-wave DFT calculation with GGA-PBEsol was carried out for a relaxed BaSc2Au crystal.

The structure in POSCAR format:
```
BaSc2Au
1.0
4.524 0.000 0.000
0.000 4.524 0.000
0.000 0.000 5.020
Ba Sc Au
1 2 1
direct
0.000 0.000 0.000
0.000 0.500 0.500
0.500 0.000 0.500
0.500 0.500 0.000
```

Results
space group	P4/mmm (123)
N(E_F)	4.83	states/eV/f.u.

***

Going by the energies, <Q> is most stable and the next is 21 meV/atom up.